No. 1
# RbZn2In2

RbZn2In2 after structural relaxation (PBE-GGA, Alexandria via LeMat-Bulk).

extended XYZ file:
```
5
Lattice="-2.3675 2.3675 6.0560 2.3675 -2.3675 6.0560 2.3675 2.3675 -6.0560" Properties=species:S:1:pos:R:3 pbc="T T T"
Rb 0.0000 0.0000 0.0000
Zn 0.0000 0.0000 4.7359
Zn 0.0000 0.0000 7.3762
In 2.3675 0.0000 3.0280
In 0.0000 2.3675 3.0280
```

Calculated values
- Total moment: 0.0000 μB per atom

---

No. 2
# RbZnIn3

RbZnIn3 after structural relaxation (PBE-GGA, Alexandria via LeMat-Bulk).

extended XYZ file:
```
5
Lattice="6.6321 0.0000 0.0000 0.0000 6.6321 0.0000 0.0000 0.0000 6.6321" Properties=species:S:1:pos:R:3 pbc="T T T"
Rb 0.0000 0.0000 0.0000
Zn 3.3160 3.3160 3.3160
In 0.0000 0.0000 3.3160
In 0.0000 3.3160 0.0000
In 3.3160 0.0000 0.0000
```

Calculated values
- Total moment: 0.0005 μB per atom

---

No. 3
# RbZnIn

RbZnIn after structural relaxation (PBE-GGA, Alexandria via LeMat-Bulk).

extended XYZ file:
```
3
Lattice="-1.9409 1.9409 6.5770 1.9409 -1.9409 6.5770 1.9409 1.9409 -6.5770" Properties=species:S:1:pos:R:3 pbc="T T T"
Rb 0.0000 0.0000 0.0000
Zn 0.0000 0.0000 3.8046
In 0.0000 0.0000 9.4151
```

Calculated values
- Total moment: 0.0000 μB per atom

---

Number 1: E_form -0.0083 eV per atom. Number 2: E_form 1.0478 eV per atom. Number 3: E_form 0.0633 eV per atom.